1.
VASP calculation (PBE) on Pr3Ga2Ni after structural relaxation.

Summary:
Density (g/cm³): 6.71
ΔE_f (eV per formula unit): -2.9
Magnetization (μB per atom): 0.000

Lattice parameters (Å, degrees): 12.1535 4.3462 11.6373 90.00 90.00 90.00
Last column: nearest neighbours and their distance in Å.
Space group Pnma (No. 62)
Symmetry-distinct sites (fractional):
Pr 0.0465 0.2500 0.1255 (multiplicity 4)  1 Ni 3.03, 5 Ga 3.07-3.29
Pr 0.1174 0.7500 0.5546 (multiplicity 4)  3 Ni 3.03-3.05, 5 Ga 3.10-3.20
Pr 0.2315 0.2500 0.7944 (multiplicity 4)  2 Ni 2.94, 4 Ga 3.07-3.25
Ga 0.0167 0.7500 0.3098 (multiplicity 4)  2 Ni 2.64
Ga 0.1975 0.7500 0.9975 (multiplicity 4)  1 Ni 2.61
Ni 0.1240 0.2500 0.3734 (multiplicity 4)  3 Ga 2.61-2.64

=====

2.
VASP calculation (PBE) on RbPu2Br6 after structural relaxation.

Summary:
Density (g/cm³): 4.64
Magnetization (μB per atom): 1.222
ΔE_f (raw) (eV/atom): -1.624

Lattice parameters (Å, degrees): 7.6233 7.6233 7.4910 90.00 90.00 120.00
Last column: nearest neighbours and their distance in Å.
Space group P-31m (No. 162)
Symmetry-distinct sites (fractional):
Rb 0.0000 0.0000 0.0000 (multiplicity 1)  6 Br 3.52
Pu 0.3333 0.6667 0.5000 (multiplicity 2)  6 Br 2.94
Br 0.0000 0.3752 0.7268 (multiplicity 6)  2 Pu 2.94

=====

3.
VASP calculation (PBE) on HfScRu after structural relaxation.

Summary:
Density (g/cm³): 9.48
ΔE_f (eV per formula unit): -1.3
Magnetization (μB per atom): 0.190

Lattice parameters (Å, degrees): 11.1805 3.2544 6.5339 90.00 107.05 90.00
Last column: nearest neighbours and their distance in Å.
Space group C2/m (No. 12)
Symmetry-distinct sites (fractional):
Hf 0.1484 0.0000 0.3292 (multiplicity 4)  4 Ru 2.78-2.82
Sc 0.1439 0.0000 0.8204 (multiplicity 4)  4 Ru 2.76-2.78
Ru 0.0000 0.5000 0.0000 (multiplicity 2)  4 Sc 2.78, 4 Hf 2.82
Ru 0.0000 0.5000 0.5000 (multiplicity 2)  4 Sc 2.76, 4 Hf 2.78